(1)
# LiLaNiGe

A relaxed structure of LiLaNiGe (PBE, the Open Quantum Materials Database).

## Properties
For the distance to the lowest polymorph of the same formula, the calculation gives 195 meV per atom.

Lattice parameters (Å, degrees): 6.672 6.672 6.672 90.00 90.00 90.00
Space group F-43m (No. 216)
Symmetry-distinct sites (fractional):
Li  0.000  0.000  0.000
La  0.250  0.250  0.750
Ni  0.250  0.250  0.250
Ge  0.000  0.000  0.500

=====

(2)
# TmLuCu2As4

A relaxed structure of TmLuCu2As4 (PBE, the Open Quantum Materials Database).

Lattice parameters (Å, degrees): 3.876 3.876 9.714 90.00 90.00 90.00
Space group P4mm (No. 99)
Symmetry-distinct sites (fractional):
Tm  0.000  0.000  0.000
Lu  0.500  0.500  0.528
Cu  0.000  0.500  0.265
As  0.000  0.000  0.430
As  0.000  0.500  0.763
As  0.500  0.500  0.100

=====

(3)
# RbCu4P3

A relaxed structure of RbCu4P3 (PBE, the Open Quantum Materials Database).

Lattice parameters (Å, degrees): 3.8651 3.8651 33.6234 90.00 90.00 120.00
Space group R-3m (No. 166, hexagonal axes)
Symmetry-distinct sites (fractional):
Rb  0.0000  0.0000  0.0000
Cu  0.0000  0.0000  0.1906
Cu  0.0000  0.0000  0.4266
P  0.0000  0.0000  0.2577
P  0.0000  0.0000  0.5000

=====

(4)
# NiAs2Pb

A relaxed structure of NiAs2Pb (PBE, the Open Quantum Materials Database).

Lattice parameters (Å, degrees): 6.237 3.716 14.900 90.00 90.00 90.00
Space group Pnma (No. 62)
Symmetry-distinct sites (fractional):
Ni  0.006  0.250  0.066
As  0.022  0.250  0.827
As  0.243  0.250  0.548
Pb  0.080  0.250  0.345

=====

(5)
# NaMgNb

A relaxed structure of NaMgNb (PBE, the Open Quantum Materials Database).

## Properties
For the distance to the lowest polymorph of the same formula, the calculation gives 0 meV per atom.

Lattice parameters (Å, degrees): 6.952 6.952 6.952 90.00 90.00 90.00
Space group F-43m (No. 216)
Symmetry-distinct sites (fractional):
Na  0.000  0.000  0.000
Mg  0.250  0.250  0.250
Nb  0.000  0.000  0.500

=====

(6)
# Er2ScAl3Si2Pt

A relaxed structure of Er2ScAl3Si2Pt (PBE, the Open Quantum Materials Database).

Lattice parameters (Å, degrees): 4.158 11.703 6.818 90.00 90.00 90.00
Space group Amm2 (No. 38)
Symmetry-distinct sites (fractional):
Er  0.000  0.209  0.000
Sc  0.000  0.000  0.372
Al  0.500  0.000  0.029
Al  0.500  0.119  0.667
Si  0.500  0.162  0.291
Pt  0.000  0.000  0.779

=====

(7)
# ZnCuPdW

A relaxed structure of ZnCuPdW (PBE, the Open Quantum Materials Database).

## Properties
The formation energy is 1.0 eV/f.u. For the distance to the lowest polymorph of the same formula, the calculation gives 0 meV per atom.

Lattice parameters (Å, degrees): 6.130 6.130 6.130 90.00 90.00 90.00
Space group F-43m (No. 216)
Symmetry-distinct sites (fractional):
Zn  0.000  0.000  0.000
Cu  0.250  0.250  0.250
Pd  0.250  0.250  0.750
W  0.000  0.000  0.500

=====

(8)
# MoIrPt2

A relaxed structure of MoIrPt2 (PBE, the Open Quantum Materials Database).

## Properties
The formation energy is -0.8 eV/f.u. For the distance to the lowest polymorph of the same formula, the calculation gives 2 meV per atom.

Lattice parameters (Å, degrees): 4.524 5.576 9.594 90.00 90.00 90.00
Space group Amm2 (No. 38)
Symmetry-distinct sites (fractional):
Mo  0.000  0.000  0.000
Mo  0.500  0.000  0.330
Ir  0.500  0.245  0.077
Pt  0.000  0.000  0.499
Pt  0.000  0.245  0.251
Pt  0.500  0.000  0.833

=====

(9)
# PrSm3Br2N2

A relaxed structure of PrSm3Br2N2 (PBE, the Open Quantum Materials Database).

Lattice parameters (Å, degrees): 3.6822 3.6822 14.4945 90.00 90.00 120.00
Space group P3m1 (No. 156)
Symmetry-distinct sites (fractional):
Pr  0.0000  0.0000  0.0000
Sm  0.0000  0.0000  0.6807
Sm  0.3333  0.6667  0.1829
Sm  0.3333  0.6667  0.5031
Br  0.0000  0.0000  0.3439
Br  0.3333  0.6667  0.8358
N  0.6667  0.3333  0.1027
N  0.6667  0.3333  0.5918

=====

(10)
# Dy2HoCd3Ir2Pt

A relaxed structure of Dy2HoCd3Ir2Pt (PBE, the Open Quantum Materials Database).

## Properties
The formation energy is -6.0 eV/f.u.

Lattice parameters (Å, degrees): 3.936 12.972 7.492 90.00 90.00 90.00
Space group Amm2 (No. 38)
Symmetry-distinct sites (fractional):
Dy  0.000  0.204  0.000
Ho  0.000  0.000  0.611
Cd  0.500  0.000  0.945
Cd  0.500  0.130  0.333
Ir  0.500  0.166  0.704
Pt  0.000  0.000  0.204

=====

(11)
# LuIrAu

A relaxed structure of LuIrAu (PBE, the Open Quantum Materials Database).

## Properties
The formation energy is -1.1 eV/f.u. For the distance to the lowest polymorph of the same formula, the calculation gives 0 meV per atom.

Lattice parameters (Å, degrees): 6.415 6.415 6.415 90.00 90.00 90.00
Space group F-43m (No. 216)
Symmetry-distinct sites (fractional):
Lu  0.000  0.000  0.000
Ir  0.250  0.250  0.750
Au  0.000  0.000  0.500

=====

(12)
# TaCo

A relaxed structure of TaCo (PBE, the Open Quantum Materials Database).

## Properties
The formation energy is 0.9 eV/f.u.

Lattice parameters (Å, degrees): 5.3708 5.3708 7.4403 90.00 90.00 120.00
Space group P6_3/mmc (No. 194)
Symmetry-distinct sites (fractional):
Ta  0.1699  0.3398  0.2500
Co  0.0000  0.0000  0.0000
Co  0.3333  0.6667  0.5688

=====

(13)
# SmCuGeTeS2

A relaxed structure of SmCuGeTeS2 (PBE, the Open Quantum Materials Database).

Lattice parameters (Å, degrees): 3.938 13.168 11.046 90.00 90.00 90.00
Space group Cmcm (No. 63)
Symmetry-distinct sites (fractional):
Sm  0.000  0.000  0.000
Cu  0.000  0.478  0.250
Ge  0.000  0.199  0.750
Te  0.000  0.115  0.250
S  0.000  0.368  0.086

=====

(14)
# TbSc2Cu4Si2Ge2

A relaxed structure of TbSc2Cu4Si2Ge2 (PBE, the Open Quantum Materials Database).

## Properties
For the distance to the lowest polymorph of the same formula, the calculation gives 15 meV per atom.

Lattice parameters (Å, degrees): 4.023 6.612 13.396 90.00 90.00 90.00
Space group Immm (No. 71)
Symmetry-distinct sites (fractional):
Tb  0.000  0.000  0.000
Sc  0.000  0.500  0.125
Cu  0.000  0.307  0.334
Si  0.000  0.179  0.500
Ge  0.000  0.000  0.222

=====

(15)
# HoZrCS

A relaxed structure of HoZrCS (PBE, the Open Quantum Materials Database).

## Properties
For the distance to the lowest polymorph of the same formula, the calculation gives 0 meV per atom.

Lattice parameters (Å, degrees): 3.5290 3.5290 12.5959 90.00 90.00 120.00
Space group P6_3mc (No. 186)
Symmetry-distinct sites (fractional):
Ho  0.3333  0.6667  0.0000
Zr  0.3333  0.6667  0.7056
C  0.0000  0.0000  0.1120
S  0.3333  0.6667  0.3465

=====

(16)
# CsNi2

A relaxed structure of CsNi2 (PBE, the Open Quantum Materials Database).

Lattice parameters (Å, degrees): 11.413 11.413 11.413 90.00 90.00 90.00
Space group Fd-3m (No. 227, origin choice 2)
Symmetry-distinct sites (fractional):
Cs  0.125  0.125  0.125
Ni  0.000  0.000  0.000

=====

(17)
# NdGdNi2Ge2

A relaxed structure of NdGdNi2Ge2 (PBE, the Open Quantum Materials Database).

Lattice parameters (Å, degrees): 4.206 4.206 6.627 90.00 90.00 90.00
Space group P4mm (No. 99)
Symmetry-distinct sites (fractional):
Nd  0.000  0.000  0.000
Gd  0.500  0.500  0.619
Ni  0.000  0.500  0.318
Ge  0.000  0.000  0.515
Ge  0.500  0.500  0.121

=====

(18)
# K2PrZrP3O12

A relaxed structure of K2PrZrP3O12 (PBE, the Open Quantum Materials Database).

Lattice parameters (Å, degrees): 10.387 10.387 10.387 90.00 90.00 90.00
Space group P2_13 (No. 198)
Symmetry-distinct sites (fractional):
K  0.070  0.070  0.070
K  0.209  0.709  0.791
Pr  0.067  0.933  0.433
Zr  0.150  0.350  0.650
P  0.037  0.753  0.126
O  0.004  0.959  0.789
O  0.017  0.126  0.322
O  0.022  0.862  0.223
O  0.084  0.180  0.739

=====

(19)
# Bi2Au

A relaxed structure of Bi2Au (PBE, the Open Quantum Materials Database).

Lattice parameters (Å, degrees): 5.003 5.003 7.051 90.00 90.00 90.00
Space group I4/mmm (No. 139)
Symmetry-distinct sites (fractional):
Bi  0.000  0.500  0.250
Au  0.000  0.000  0.000

=====

(20)
# ScNb2Sn2

A relaxed structure of ScNb2Sn2 (PBE, the Open Quantum Materials Database).

## Properties
For the distance to the lowest polymorph of the same formula, the calculation gives 458 meV per atom.

Lattice parameters (Å, degrees): 4.431 4.431 12.023 90.00 90.00 90.00
Space group I4/mmm (No. 139)
Symmetry-distinct sites (fractional):
Sc  0.000  0.000  0.000
Nb  0.000  0.000  0.405
Sn  0.000  0.500  0.250

=====

(21)
# GdDyTmIn

A relaxed structure of GdDyTmIn (PBE, the Open Quantum Materials Database).

Lattice parameters (Å, degrees): 4.822 4.827 4.836 90.00 90.00 90.00
Space group Pmmm (No. 47)
Symmetry-distinct sites (fractional):
Gd  0.000  0.000  0.000
Dy  0.500  0.000  0.500
Tm  0.500  0.500  0.000
In  0.000  0.500  0.500

=====

(22)
# HoAg6Sn

A relaxed structure of HoAg6Sn (PBE, the Open Quantum Materials Database).

Lattice parameters (Å, degrees): 4.979 5.997 5.244 90.00 90.00 90.00
Space group Pmm2 (No. 25)
Symmetry-distinct sites (fractional):
Ho  0.000  0.000  0.000
Ag  0.000  0.255  0.500
Ag  0.000  0.500  0.014
Ag  0.500  0.000  0.662
Ag  0.500  0.250  0.184
Sn  0.500  0.500  0.694

=====

Final energy readings, ordered: -72.6 -41.3 -98.5 -75.4 -35.2 -103.0 -88.5 -130.6 -50.3 -92.5 -70.9 -108.2 -116.6 -117.9 -63.3 -31.8 -34.1 -569.2 -23.1 -65.9 -17.5 -26.3 eV per cell